This record from the Open Quantum Materials Database describes an optimized crystal structure of BaCu2F8. The functional is PBE-GGA.

a = 5.2134 Å, b = 5.2233 Å, c = 6.5179 Å
α = 113.37°, β = 113.09°, γ = 90.00°
Closest atoms and distances in Å follow each position.
Fractional coordinates of all 11 atoms:
F 0.0373 0.1967 0.7709  1 Cu 1.76
F 0.1993 0.7348 0.7787  1 Cu 1.76
F 0.9326 0.7681 0.2279  1 Cu 1.76
F 0.4712 0.9316 0.2306  1 Cu 1.76
F 0.5681 0.0303 0.7623  1 Cu 1.76
F 0.7336 0.5741 0.7743  1 Cu 1.76
F 0.7688 0.2992 0.2150  1 Cu 1.76
F 0.3068 0.4615 0.2218  1 Cu 1.76
Cu 0.0024 0.5001 0.9987  4 F 1.76
Cu 0.5021 0.9987 0.9966  4 F 1.76
Ba 0.2497 0.2540 0.4977  8 F 2.54

total DFT energy (no corrections)	-4.14	eV/atom



This record from the Open Quantum Materials Database describes an optimized crystal structure of Ba6Cu11F34. The functional is PBE-GGA.

a = 7.3394 Å, b = 9.8353 Å, c = 9.9332 Å
α = 81.96°, β = 72.38°, γ = 71.05°
Closest atoms and distances in Å follow each position.
Fractional coordinates of all 51 atoms:
F 0.7230 0.1483 0.1261  2 Cu 1.93-2.01
F 0.5445 0.1157 0.9075  1 Cu 1.90
F 0.0537 0.8727 0.7040  2 Cu 1.89-1.95
F 0.0660 0.3918 0.3157  2 Cu 1.93-1.94
F 0.3243 0.6197 0.5794  2 Cu 1.90-1.98
F 0.5497 0.6159 0.7524  2 Cu 1.94-2.13
F 0.9463 0.1273 0.2960  2 Cu 1.89-1.95
F 0.3372 0.6108 0.0736  1 Cu 1.95
F 0.7985 0.6124 0.4630  2 Cu 1.95-2.03
F 0.0570 0.8723 0.1788  2 Cu 1.96-2.01
F 0.6661 0.8659 0.7704  2 Cu 1.96-1.99
F 0.9430 0.1277 0.8212  2 Cu 1.96-2.01
F 0.5686 0.6520 0.2617  1 Cu 1.93
F 0.4555 0.8843 0.0925  1 Cu 1.90
F 0.4503 0.3841 0.2476  2 Cu 1.94-2.13
F 0.7501 0.1072 0.6204  1 Cu 1.92
F 0.2770 0.8517 0.8738  2 Cu 1.93-2.01
F 0.1223 0.5935 0.8899  2 Cu 2.08
F 0.1147 0.1402 0.5287  2 Cu 1.92-2.05
F 0.2499 0.8928 0.3796  1 Cu 1.92
F 0.8550 0.8608 0.9870  2 Cu 1.93-2.05
F 0.9340 0.6082 0.6843  2 Cu 1.93-1.94
F 0.9456 0.6461 0.1750  2 Cu 1.94-2.00
F 0.8853 0.8598 0.4713  2 Cu 1.92-2.05
F 0.1449 0.1392 0.0130  2 Cu 1.93-2.05
F 0.3339 0.1342 0.2296  2 Cu 1.96-1.99
F 0.4314 0.3480 0.7383  1 Cu 1.93
F 0.8777 0.4065 0.1101  2 Cu 2.08
F 0.4863 0.8673 0.5585  1 Cu 1.95
F 0.0544 0.3539 0.8250  2 Cu 1.94-2.00
F 0.6629 0.3892 0.9264  1 Cu 1.95
F 0.5137 0.1327 0.4415  1 Cu 1.95
F 0.6758 0.3803 0.4206  2 Cu 1.90-1.98
F 0.2015 0.3876 0.5370  2 Cu 1.95-2.03
Cu 0.6957 0.2550 0.2836  4 F 1.89-1.94
Cu 0.1904 0.4860 0.7067  6 F 1.93-2.08
Cu 0.8096 0.5140 0.2933  6 F 1.93-2.08
Cu 0.7213 0.7433 0.6144  6 F 1.93-2.13
Cu 0.3042 0.7450 0.7164  4 F 1.89-1.94
Cu 0.7999 0.9927 0.8160  5 F 1.90-2.05
Cu 0.8927 0.2532 0.9796  6 F 1.93-2.08
Cu 0.0000 0.0000 0.5000  4 F 1.92
Cu 0.1073 0.7468 0.0204  6 F 1.93-2.08
Cu 0.2787 0.2567 0.3856  6 F 1.93-2.13
Cu 0.2001 0.0073 0.1839  5 F 1.90-2.05
Ba 0.6878 0.6496 0.9710  9 F 2.58-2.88
Ba 0.7947 0.3629 0.6473  8 F 2.59-2.85
Ba 0.3542 0.0922 0.7238  11 F 2.68-2.89
Ba 0.6458 0.9078 0.2762  11 F 2.68-2.89
Ba 0.2053 0.6371 0.3527  8 F 2.59-2.85
Ba 0.3122 0.3504 0.0290  9 F 2.58-2.88

total DFT energy (no corrections)	-4.57	eV/atom



This record from the Open Quantum Materials Database describes an optimized crystal structure of BaSrCu2S2F2. The functional is PBE-GGA.

a = 4.0100 Å, b = 4.0100 Å, c = 8.8427 Å
α = 90.00°, β = 90.00°, γ = 90.00°
Closest atoms and distances in Å follow each position.
Fractional coordinates of all 8 atoms:
F 0.5000 0.0000 0.5143  2 Sr 2.46, 2 Ba 2.62
F 0.0000 0.5000 0.5143  2 Sr 2.46, 2 Ba 2.62
Sr 0.5000 0.5000 0.6751  4 F 2.46
S 0.5000 0.5000 0.1474  4 Cu 2.43
S 0.0000 0.0000 0.8420  4 Cu 2.40
Cu 0.0000 0.5000 0.9918  4 S 2.40-2.43
Cu 0.5000 0.0000 0.9918  4 S 2.40-2.43
Ba 0.0000 0.0000 0.3234  4 F 2.62

total DFT energy (no corrections)	-4.93	eV/atom



This record from the Open Quantum Materials Database describes an optimized crystal structure of BaSrCu2Se2F2. The functional is PBE-GGA.

a = 4.1389 Å, b = 4.1389 Å, c = 8.9621 Å
α = 90.00°, β = 90.00°, γ = 90.00°
Closest atoms and distances in Å follow each position.
Fractional coordinates of all 8 atoms:
Se 0.0000 0.0000 0.8338  4 Cu 2.51
Se 0.5000 0.5000 0.1557  4 Cu 2.54
Ba 0.0000 0.0000 0.3308  4 F 2.64
F 0.0000 0.5000 0.5142  2 Sr 2.48, 2 Ba 2.64
F 0.5000 0.0000 0.5142  2 Sr 2.48, 2 Ba 2.64
Cu 0.5000 0.0000 0.9923  4 Se 2.51-2.54
Cu 0.0000 0.5000 0.9923  4 Se 2.51-2.54
Sr 0.5000 0.5000 0.6666  4 F 2.48

total DFT energy (no corrections)	-4.74	eV/atom



This record from the Open Quantum Materials Database describes an optimized crystal structure of Ba2Cu2TeSeF2. The functional is PBE-GGA.

a = 4.2943 Å, b = 4.2943 Å, c = 9.2580 Å
α = 90.00°, β = 90.00°, γ = 90.00°
Closest atoms and distances in Å follow each position.
Fractional coordinates of all 8 atoms:
F 0.0000 0.5000 0.5055  4 Ba 2.64-2.66
F 0.5000 0.0000 0.5055  4 Ba 2.64-2.66
Ba 0.0000 0.0000 0.3405  4 F 2.64
Ba 0.5000 0.5000 0.6744  4 F 2.66
Te 0.5000 0.5000 0.1558  4 Cu 2.64
Cu 0.5000 0.0000 0.9897  2 Se 2.56, 2 Te 2.64
Cu 0.0000 0.5000 0.9897  2 Se 2.56, 2 Te 2.64
Se 0.0000 0.0000 0.8389  4 Cu 2.56

total DFT energy (no corrections)	-4.66	eV/atom



This record from the Open Quantum Materials Database describes an optimized crystal structure of BaCu2Te2F2. The functional is PBE-GGA.

a = 3.6929 Å, b = 3.6929 Å, c = 10.7720 Å
α = 90.00°, β = 90.00°, γ = 90.00°
Closest atoms and distances in Å follow each position.
Fractional coordinates of all 7 atoms:
Te 0.0000 0.5000 0.2387  4 Cu 2.94, 4 F 3.17
Te 0.5000 0.0000 0.7613  4 Cu 2.94, 4 F 3.17
Ba 0.0000 0.0000 0.5000  4 Te 3.37, 4 Ba 3.69
F 0.5000 0.5000 0.0000  4 Cu 2.22
F 0.0000 0.0000 0.0000  4 Cu 2.22
Cu 0.0000 0.5000 0.8858  4 F 2.22
Cu 0.5000 0.0000 0.1142  4 F 2.22

total DFT energy (no corrections)	-3.48	eV/atom



This record from the Open Quantum Materials Database describes an optimized crystal structure of BaFe2Cu. The functional is PBE-GGA.

a = 4.8044 Å, b = 4.8044 Å, c = 4.8044 Å
α = 60.00°, β = 60.00°, γ = 60.00°
Closest atoms and distances in Å follow each position.
Fractional coordinates of all 4 atoms:
Fe 0.0000 0.0000 0.0000  4 Cu 2.94, 4 Fe 2.94
Fe 0.7500 0.7500 0.7500  4 Ba 2.94, 4 Fe 2.94
Ba 0.5000 0.5000 0.5000  4 Cu 2.94, 4 Fe 2.94
Cu 0.2500 0.2500 0.2500  4 Ba 2.94, 4 Fe 2.94

total DFT energy (no corrections)	-4.65	eV/atom
M_tot	5.553	μB/f.u.



This record from the Open Quantum Materials Database describes an optimized crystal structure of BaFeCuRe. The functional is PBE-GGA.

a = 4.7611 Å, b = 4.7611 Å, c = 4.7611 Å
α = 60.00°, β = 60.00°, γ = 60.00°
Closest atoms and distances in Å follow each position.
Fractional coordinates of all 4 atoms:
Re 0.2500 0.2500 0.2500  4 Ba 2.92, 4 Fe 2.92
Fe 0.0000 0.0000 0.0000  4 Cu 2.92, 4 Re 2.92
Ba 0.5000 0.5000 0.5000  4 Re 2.92, 4 Cu 2.92
Cu 0.7500 0.7500 0.7500  4 Ba 2.92, 4 Fe 2.92

total DFT energy (no corrections)	-5.27	eV/atom
M_tot	3.864	μB/f.u.



This record from the Open Quantum Materials Database describes an optimized crystal structure of BaFeCuRe. The functional is PBE-GGA.

a = 4.7575 Å, b = 4.7575 Å, c = 4.7575 Å
α = 60.00°, β = 60.00°, γ = 60.00°
Closest atoms and distances in Å follow each position.
Fractional coordinates of all 4 atoms:
Re 0.5000 0.5000 0.5000  4 Fe 2.91, 4 Cu 2.91
Ba 0.0000 0.0000 0.0000  4 Cu 2.91, 4 Fe 2.91
Cu 0.7500 0.7500 0.7500  4 Ba 2.91, 4 Re 2.91
Fe 0.2500 0.2500 0.2500  4 Re 2.91, 4 Ba 2.91

total DFT energy (no corrections)	-5.38	eV/atom
M_tot	4.188	μB/f.u.



This record from the Open Quantum Materials Database describes an optimized crystal structure of BaFeCuRe. The functional is PBE-GGA.

a = 4.7124 Å, b = 4.7124 Å, c = 4.7124 Å
α = 60.00°, β = 60.00°, γ = 60.00°
Closest atoms and distances in Å follow each position.
Fractional coordinates of all 4 atoms:
Re 0.5000 0.5000 0.5000  4 Ba 2.89, 4 Cu 2.89
Cu 0.7500 0.7500 0.7500  4 Fe 2.89, 4 Re 2.89
Ba 0.2500 0.2500 0.2500  4 Re 2.89, 4 Fe 2.89
Fe 0.0000 0.0000 0.0000  4 Cu 2.89, 4 Ba 2.89

total DFT energy (no corrections)	-5.10	eV/atom
M_tot	4.085	μB/f.u.



This record from the Open Quantum Materials Database describes an optimized crystal structure of BaFeCuS3. The functional is PBE-GGA.

a = 9.8060 Å, b = 3.8253 Å, c = 13.3893 Å
α = 90.00°, β = 90.00°, γ = 90.00°
Closest atoms and distances in Å follow each position.
Fractional coordinates of all 24 atoms:
S 0.2476 0.2500 0.3175  2 Cu 2.31, 1 Fe 2.31
S 0.4502 0.2500 0.6294  1 Cu 2.29
S 0.4472 0.7500 0.1306  1 Cu 2.31, 2 Fe 2.56
S 0.9472 0.7500 0.3694  1 Cu 2.31, 2 Fe 2.56
S 0.5528 0.2500 0.8694  1 Cu 2.31, 2 Fe 2.56
S 0.7524 0.7500 0.6825  2 Cu 2.31, 1 Fe 2.31
S 0.9502 0.2500 0.8706  1 Cu 2.29
S 0.7476 0.2500 0.1825  2 Cu 2.31, 1 Fe 2.31
S 0.0528 0.2500 0.6306  1 Cu 2.31, 2 Fe 2.56
S 0.5498 0.7500 0.3706  1 Cu 2.29
S 0.2524 0.7500 0.8175  2 Cu 2.31, 1 Fe 2.31
S 0.0498 0.7500 0.1294  1 Cu 2.29
Cu 0.2472 0.7500 0.2211  4 S 2.29-2.31
Cu 0.7528 0.2500 0.7789  4 S 2.29-2.31
Cu 0.7472 0.7500 0.2789  4 S 2.29-2.31
Cu 0.2528 0.2500 0.7211  4 S 2.29-2.31
Ba 0.2481 0.7500 0.5025  8 S 3.13-3.45, 2 Cu 3.50
Ba 0.7481 0.7500 0.9975  8 S 3.13-3.45, 2 Cu 3.50
Ba 0.7519 0.2500 0.4975  8 S 3.13-3.45, 2 Cu 3.50
Ba 0.2519 0.2500 0.0025  8 S 3.13-3.45, 2 Cu 3.50
Fe 0.0273 0.2500 0.2568  5 S 2.31-2.57
Fe 0.5273 0.2500 0.2432  5 S 2.31-2.57
Fe 0.4727 0.7500 0.7568  5 S 2.31-2.57
Fe 0.9727 0.7500 0.7432  5 S 2.31-2.57

total DFT energy (no corrections)	-5.18	eV/atom
M_tot	4.953	μB/f.u.



This record from the Open Quantum Materials Database describes an optimized crystal structure of Ba2FeCuS6. The functional is PBE-GGA.

a = 6.6964 Å, b = 6.6964 Å, c = 6.6964 Å
α = 60.00°, β = 60.00°, γ = 90.00°
Closest atoms and distances in Å follow each position.
Fractional coordinates of all 10 atoms:
S 0.2471 0.2471 0.0000  1 Fe 2.34, 1 Cu 2.39
S 0.2471 0.2471 0.5057  1 Fe 2.34, 1 Cu 2.39
S 0.2471 0.7529 0.0000  1 Fe 2.34, 1 Cu 2.39
S 0.7529 0.2471 0.0000  1 Fe 2.34, 1 Cu 2.39
S 0.7529 0.7529 0.4943  1 Fe 2.34, 1 Cu 2.39
S 0.7529 0.7529 0.0000  1 Fe 2.34, 1 Cu 2.39
Fe 0.0000 0.0000 0.0000  6 S 2.34
Ba 0.2500 0.7500 0.5000  12 S 3.35
Ba 0.7500 0.2500 0.5000  12 S 3.35
Cu 0.5000 0.5000 0.0000  6 S 2.39

total DFT energy (no corrections)	-4.85	eV/atom
M_tot	3.420	μB/f.u.